Cd3Os, optimized geometry, DFT PBE; total energy = -2.937 eV/atom; DOS at the Fermi energy = 0.617 states/eV per atom; total magnetic moment = 0.00 μB per atom; crystal system = cubic
1.0
0.000 3.346 3.346
3.346 0.000 3.346
3.346 3.346 0.000
Cd Os
3 1
direct
0.000 0.000 0.000 Cd
0.250 0.250 0.250 Cd
0.750 0.750 0.750 Cd
0.500 0.500 0.500 Os